Record 1
Material: BeBOs
Method: DFT, meta-GGA SCAN
State: PBEsol geometry

abc: 2.9008 4.1225 5.3822
angles: 70.94 74.37 69.40
Closest atoms and distances in Å follow each position.
Positions (direct):
B  0.1211  0.9081  0.8497  1 B 1.87, 2 Be 2.08
B  0.8789  0.0919  0.1503  1 B 1.87, 2 Be 2.08
Be  0.6272  0.1648  0.5808  3 B 2.08-2.32, 2 Be 2.23
Be  0.3728  0.8352  0.4192  3 B 2.08-2.32, 2 Be 2.23
Os  0.1445  0.4864  0.2246  4 B 2.19-2.27, 4 Be 2.37-2.42
Os  0.8555  0.5136  0.7754  4 B 2.19-2.27, 4 Be 2.37-2.42

Final energy   -28.211 eV/atom
SG   C2/m, No. 12
Formation energy   -0.32 eV per atom
M_tot   0.0 μB/f.u.
D(E_F)   0.58 states/eV/f.u.
Mass density   12.4 Mg/m³

---

Record 2
Material: BeBP2
Method: DFT, meta-GGA SCAN
State: PBEsol geometry

abc: 4.7912 4.7912 5.6842
angles: 114.93 114.93 90.00
Closest atoms and distances in Å follow each position.
Positions (direct):
P  0.9026  0.3750  0.2500  2 B 1.97, 2 Be 2.12
P  0.3474  0.8750  0.2500  2 B 1.97, 2 Be 2.12
P  0.1250  0.0974  0.7500  2 B 1.97, 2 Be 2.12
P  0.6250  0.6526  0.7500  2 B 1.97, 2 Be 2.12
B  0.2500  0.7500  0.5000  4 P 1.97
B  0.0000  0.0000  0.0000  4 P 1.97
Be  0.5000  0.5000  0.0000  4 P 2.12
Be  0.7500  0.2500  0.5000  4 P 2.12

Final energy   -8.350 eV/atom
SG   I-42d, No. 122
Formation energy   -0.20 eV per atom
M_tot   0.0 μB/f.u.
D(E_F)   1.72 states/eV/f.u.
Mass density   2.6 Mg/m³

---

Record 3
Material: BeBPPb2
Method: DFT, meta-GGA SCAN
State: PBEsol geometry

abc: 3.6316 5.0724 5.0724
angles: 90.00 90.00 90.00
Closest atoms and distances in Å follow each position.
Positions (direct):
Be  0.5000  0.0000  0.0000  2 B 1.82
B  0.0000  0.0000  0.0000  2 Be 1.82
Pb  0.0000  0.0000  0.5000  2 B 2.54
Pb  0.0000  0.5000  0.0000  2 B 2.54
P  0.5000  0.5000  0.5000  8 Pb 3.12

Final energy   -34.149 eV/atom
SG   P4/mmm, No. 123
Formation energy   0.60 eV per atom
M_tot   0.0 μB/f.u.
D(E_F)   2.35 states/eV/f.u.
Mass density   8.3 Mg/m³

---

Record 4
Material: BeBTe2P
Method: DFT, meta-GGA SCAN
State: PBEsol geometry

abc: 3.6149 4.9282 4.9282
angles: 90.00 90.00 90.00
Closest atoms and distances in Å follow each position.
Positions (direct):
Be  0.5000  0.0000  0.0000  2 B 1.81
B  0.0000  0.0000  0.0000  2 Be 1.81
P  0.5000  0.5000  0.5000  8 Te 3.06
Te  0.0000  0.5000  0.0000  2 B 2.46
Te  0.0000  0.0000  0.5000  2 B 2.46

Final energy   -18.611 eV/atom
SG   P4/mmm, No. 123
Formation energy from raw total energies   3.6 eV per formula unit
M_tot   0.0 μB/f.u.
D(E_F)   1.79 states/eV/f.u.
Mass density   5.8 Mg/m³

---

Look up the M_tot of the third one. 0.0 μB/f.u.

---

D(E_F) of number 4 (BeBTe2P)? 1.79 states/eV/f.u.

---

Which formula does entry 2 have? BeBP2

---

The highest mass density belongs to which entry? BeBOs